A plane-wave DFT calculation with PBE-GGA was carried out for an optimized crystal structure of KSmSnSe3.

Computed properties:
Distance to the lowest polymorph of the same formula ... 121 meV per atom
Spin magnetization ... 0.0 μB per cell

a b c (Å): 4.2099 16.6626 11.9874
angles (deg): 90.00 90.00 90.00
Last column: nearest neighbours and their distance in Å.
Space group Cmcm (No. 63)
Inequivalent atoms, fractional coordinates:
K 0.0000 0.1794 0.2500 x4  2 Se 3.22
Sm 0.0000 0.5000 0.0000 x4  6 Se 2.91-3.00
Sn 0.0000 0.1165 0.7500 x4  4 Se 2.81-2.92
Se 0.0000 0.1203 0.5062 x8  2 Sm 2.91, 1 Sn 2.92, 1 K 3.22
Se 0.0000 0.4952 0.2500 x4  2 Sn 2.81, 2 Sm 3.00


A plane-wave DFT calculation with PBE-GGA was carried out for an optimized crystal structure of KSmSnSe3.

Computed properties:
Distance to the lowest polymorph of the same formula ... 0 meV per atom
Spin magnetization ... 0.0 μB per cell

a b c (Å): 15.4956 4.2366 12.3729
angles (deg): 90.00 90.00 90.00
Last column: nearest neighbours and their distance in Å.
Space group Pnma (No. 62)
Inequivalent atoms, fractional coordinates:
K 0.2339 0.2500 0.1001 x4  5 Se 3.35-3.46
Sm 0.0021 0.7500 0.6466 x4  6 Se 2.89-3.00
Sn 0.0420 0.2500 0.9105 x4  3 Se 2.68-2.78
Se 0.0908 0.7500 0.2288 x4  1 Sn 2.68, 2 Sm 2.99
Se 0.1039 0.2500 0.5458 x4  3 Sm 2.89-2.92
Se 0.1345 0.7500 0.8231 x4  2 Sn 2.78, 1 Sm 3.00


A plane-wave DFT calculation with PBE-GGA was carried out for an optimized crystal structure of KSrSmSe3.

Computed properties:
Calculated total energy ... -110.06 eV/cell
Spin magnetization ... 0.0 μB per cell

a b c (Å): 4.4285 19.8752 12.1067
angles (deg): 90.00 90.00 90.00
Last column: nearest neighbours and their distance in Å.
Space group Cmcm (No. 63)
Inequivalent atoms, fractional coordinates:
K 0.0000 0.1299 0.2500 x4  4 Se 3.18-3.29
Sr 0.0000 0.0917 0.7500 x4  4 Se 2.94-2.97
Sm 0.0000 0.5000 0.0000 x4  6 Se 2.98-3.03
Se 0.0000 0.1003 0.5080 x8  1 Sr 2.94, 2 Sm 2.98, 1 K 3.18
Se 0.0000 0.4922 0.7500 x4  2 Sr 2.97, 2 Sm 3.03, 2 K 3.29


A plane-wave DFT calculation with PBE-GGA was carried out for an optimized crystal structure of KSmTaSe4.

Computed properties:
Calculated total energy ... -80.20 eV/cell
Spin magnetization ... 0.0 μB per cell

a b c (Å): 6.9789 6.9629 9.1418
angles (deg): 90.00 107.95 90.00
Last column: nearest neighbours and their distance in Å.
Space group P2_1 (No. 4)
Inequivalent atoms, fractional coordinates:
K 0.2375 0.0000 0.0545 x2  7 Se 3.39-3.58
Sm 0.2075 0.0126 0.5412 x2  7 Se 2.94-3.22
Ta 0.2758 0.5165 0.3419 x2  4 Se 2.40-2.55
Se 0.0028 0.7654 0.7161 x2  1 Ta 2.55
Se 0.0113 0.2595 0.7155 x2  1 Ta 2.55
Se 0.4277 0.4561 0.1444 x2  1 Ta 2.40
Se 0.4848 0.3456 0.5844 x2  2 Ta 2.54-2.79


A plane-wave DFT calculation with PBE-GGA was carried out for an optimized crystal structure of KTbSmSe3.

Computed properties:
Calculated total energy ... -120.34 eV/cell
Spin magnetization ... 0.6 μB per cell

a b c (Å): 4.5696 15.3940 11.3841
angles (deg): 90.00 90.00 90.00
Last column: nearest neighbours and their distance in Å.
Space group Cmcm (No. 63)
Inequivalent atoms, fractional coordinates:
K 0.0000 0.2384 0.2500 x4  8 Se 3.48-3.86
Tb 0.0000 0.0311 0.7500 x4  4 Se 2.71-2.75
Sm 0.0000 0.5000 0.0000 x4  6 Se 3.03-3.04
Se 0.0000 0.1251 0.5484 x8  1 Tb 2.71
Se 0.0000 0.4317 0.7500 x4  2 Tb 2.75, 2 Sm 3.03


A plane-wave DFT calculation with PBE-GGA was carried out for an optimized crystal structure of KSmTlSe3.

Computed properties:
Calculated total energy ... -100.74 eV/cell
Spin magnetization ... 0.1 μB per cell

a b c (Å): 4.4032 15.5293 11.7576
angles (deg): 90.00 90.00 90.00
Last column: nearest neighbours and their distance in Å.
Space group Cmcm (No. 63)
Inequivalent atoms, fractional coordinates:
K 0.0000 0.2230 0.2500 x4  4 Se 3.46-3.52
Sm 0.0000 0.5000 0.0000 x4  6 Se 2.97-3.04
Tl 0.0000 0.0693 0.7500 x4  4 Se 2.83-2.89
Se 0.0000 0.1277 0.5217 x8  1 Tl 2.83, 2 Sm 2.97
Se 0.0000 0.4491 0.7500 x4  2 Tl 2.89, 2 Sm 3.04


A plane-wave DFT calculation with PBE-GGA was carried out for an optimized crystal structure of KSmZnSe3.

Computed properties:
Calculated total energy ... -99.68 eV/cell
Spin magnetization ... 0.0 μB per cell

a b c (Å): 18.8443 4.2729 8.6878
angles (deg): 90.00 102.36 90.00
Last column: nearest neighbours and their distance in Å.
Space group C2/m (No. 12)
Inequivalent atoms, fractional coordinates:
K 0.1360 0.0000 0.0703 x4  6 Se 3.22-3.30
Sm 0.1688 0.0000 0.5728 x4  6 Se 2.88-3.11
Zn 0.0304 0.5000 0.7353 x4  2 Se 2.44-2.49
Se 0.0000 0.0000 0.5000 x2  4 Zn 2.93, 2 Sm 3.11
Se 0.0000 0.5000 0.0000 x2  2 Zn 2.49
Se 0.1627 0.5000 0.7988 x4  1 Zn 2.44
Se 0.1750 0.5000 0.3534 x4  3 Sm 2.88


A plane-wave DFT calculation with PBE-GGA was carried out for an optimized crystal structure of KSmZnSe3.

Computed properties:
Calculated total energy ... -51.56 eV/cell
Spin magnetization ... 0.0 μB per cell

a b c (Å): 8.7113 4.1900 10.3649
angles (deg): 90.00 107.81 90.00
Last column: nearest neighbours and their distance in Å.
Space group P2_1/m (No. 11)
Inequivalent atoms, fractional coordinates:
K 0.2459 0.2500 0.2775 x2  6 Se 3.31-3.59
Sm 0.3134 0.7500 0.8645 x2  6 Se 2.87-3.11
Zn 0.0790 0.2500 0.6083 x2  4 Se 2.44-2.57
Se 0.0716 0.2500 0.8416 x2  1 Zn 2.44
Se 0.2134 0.7500 0.5496 x2  3 Zn 2.56-2.57
Se 0.4589 0.7500 0.1533 x2  3 Sm 2.87-2.93


A plane-wave DFT calculation with PBE-GGA was carried out for an optimized crystal structure of KTbSnSe3.

Computed properties:
Calculated total energy ... -109.00 eV/cell
Spin magnetization ... 0.0 μB per cell

a b c (Å): 4.1331 16.8228 11.8589
angles (deg): 90.00 90.00 90.00
Last column: nearest neighbours and their distance in Å.
Space group Cmcm (No. 63)
Inequivalent atoms, fractional coordinates:
K 0.0000 0.1801 0.2500 x4  2 Se 3.19
Tb 0.0000 0.5000 0.0000 x4  6 Se 2.86-2.97
Sn 0.0000 0.1179 0.7500 x4  4 Se 2.79-2.92
Se 0.0000 0.1174 0.5038 x8  2 Tb 2.86, 1 Sn 2.92, 1 K 3.19
Se 0.0000 0.4933 0.2500 x4  2 Sn 2.79, 2 Tb 2.97


A plane-wave DFT calculation with PBE-GGA was carried out for an optimized crystal structure of K2ZnSn2Se6.

Computed properties:
Calculated total energy ... -161.84 eV/cell

a b c (Å): 8.4104 8.4104 19.8980
angles (deg): 90.00 90.00 90.00
Last column: nearest neighbours and their distance in Å.
Space group P4/ncc (No. 130, origin choice 2)
Inequivalent atoms, fractional coordinates:
K 0.2500 0.2500 0.0282 x4  8 Se 3.43-3.71
K 0.2500 0.2500 0.3229 x4  8 Se 3.47-3.57
Zn 0.2500 0.7500 0.0000 x4  4 Se 2.54
Sn 0.2500 0.7500 0.1613 x8  4 Se 2.54-2.62
Se 0.0737 0.5967 0.0808 x16  1 Sn 2.54, 1 Zn 2.54
Se 0.0875 0.5875 0.7500 x8  2 Sn 2.62


Q: What is the formula in the fifth record?
A: KTbSmSe3